4
Lattice="-2.0591 2.0591 4.9655 2.0591 -2.0591 4.9655 2.0591 2.0591 -4.9655" Properties=species:S:1:pos:R:3 comment="Y2TaPt meta-GGA SCAN single point on PBEsol structure" vol_a3_per_cell=84.2 final_energy_ev_per_cell=-192.98 magmom_total_mub_per_cell=0.00 n_ef_per_ev_fu=4.8 formation_energy_mev_per_atom=-130 pbc="T T T"
Y 0.0000 0.0000 0.0000
Y 0.0000 2.0591 2.4827
Ta 2.0591 0.0000 2.4827
Pt 0.0000 0.0000 4.9655